The following is a DFT calculation (PBE+U) of crystalline InCo2BiO6 at its relaxed geometry.

Values from the calculation:
total energy	-5.696	eV/atom
volume	11.0	A^3/atom

CIF file:
```
data_InCo2BiO6
_space_group_name_H-M_alt 'R 3'
_space_group_IT_number 146
_space_group_name_Hall 'R 3'
_cell_length_a 5.3602
_cell_length_b 5.3602
_cell_length_c 13.2475
_cell_angle_alpha 90.00
_cell_angle_beta 90.00
_cell_angle_gamma 120.00
loop_
_atom_site_label
_atom_site_fract_x
_atom_site_fract_y
_atom_site_fract_z
In1 0.0000 0.0000 0.0000
Co1 0.0000 0.0000 0.2786
Co2 0.0000 0.0000 0.7784
Bi1 0.0000 0.0000 0.5102
O1 0.0154 0.4298 0.5387
O2 0.0156 0.6122 0.0384
```